(1)
A relaxed structure of MnTl2As, computed with PBE.

a b c (Å): 3.3679 4.9536 11.5803
angles (deg): 90.00 90.00 90.00
Space group Imm2 (No. 44)
Asymmetric unit:
Mn1 0.0000 0.0000 0.0000
Tl1 0.0000 0.0000 0.5456
Tl2 0.0000 0.5000 0.7494
As1 0.0000 0.5000 0.3471

Properties
V	193.2	Å³/cell
final energy	-4.428	eV per atom
excess energy over the best structure of this formula in the dataset	0.1304	eV per atom
energy relative to the elements	0.210	eV per atom

***

(2)
A relaxed structure of ZnTeP, computed with PBE.

a b c (Å): 3.2173 3.2173 7.7115
angles (deg): 90.00 90.00 120.00
Space group P3m1 (No. 156)
Asymmetric unit:
Zn1 0.0000 0.0000 0.0000
Te1 0.3333 0.6667 0.6965
P1 0.6667 0.3333 0.2150

Properties
V	69.1	Å³/cell
final energy	-2.892	eV per atom
excess energy over the best structure of this formula in the dataset	0.5072	eV per atom

***

(3)
A relaxed structure of Tm2Si7Pd12, computed with PBE.

a b c (Å): 10.0265 10.0265 3.8016
angles (deg): 90.00 90.00 120.00
Space group P-3 (No. 147)
Asymmetric unit:
Tm1 0.3333 0.6667 0.2539
Si1 0.0000 0.0000 0.0000
Si2 0.1182 0.7097 0.7500
Pd1 0.0657 0.4451 0.7488
Pd2 0.1119 0.2585 0.2499

Properties
V	331.0	Å³/cell
final energy	-6.004	eV per atom

***

(4)
A relaxed structure of PuPaAsS, computed with PBE.

a b c (Å): 4.0120 4.0120 19.6718
angles (deg): 90.00 90.00 120.00
Space group R3m (No. 160, hexagonal axes)
Asymmetric unit:
Pu1 0.0000 0.0000 0.0000
Pa1 0.0000 0.0000 0.4903
As1 0.0000 0.0000 0.2442
S1 0.0000 0.0000 0.7439

Properties
V	274.2	Å³/cell
final energy	-9.522	eV per atom
excess energy over the best structure of this formula in the dataset	0.0000	eV per atom

***

(5)
A relaxed structure of CePr12Ho5, computed with PBE.

a b c (Å): 15.4859 15.5169 5.1778
angles (deg): 90.00 90.00 90.00
Space group Cmmm (No. 65)
Asymmetric unit:
Ce1 0.0000 0.0000 0.0000
Pr1 0.1626 0.0000 0.5000
Pr2 0.1638 0.1661 0.0000
Pr3 0.1644 0.3337 0.5000
Pr4 0.1640 0.5000 0.0000
Ho1 0.0000 0.1659 0.5000
Ho2 0.0000 0.3332 0.0000
Ho3 0.0000 0.5000 0.5000

Properties
V	1244.2	Å³/cell
final energy	-4.751	eV per atom
energy relative to the elements	0.036	eV per atom

***

(6)
A relaxed structure of KCuSe2S, computed with PBE.

a b c (Å): 4.9669 4.9669 5.5477
angles (deg): 90.00 90.00 90.00
Space group P4/mmm (No. 123)
Asymmetric unit:
K1 0.0000 0.0000 0.0000
Cu1 0.5000 0.5000 0.0000
Se1 0.0000 0.5000 0.5000
S1 0.0000 0.0000 0.5000

Properties
V	136.9	Å³/cell
final energy	-2.885	eV per atom

***

(7)
A relaxed structure of Pm6TlHg2, computed with PBE.

a b c (Å): 10.2597 10.3673 10.6208
angles (deg): 90.00 90.00 90.00
Space group Immm (No. 71)
Asymmetric unit:
Pm1 0.0000 0.2217 0.1755
Pm2 0.1795 0.2294 0.5000
Pm3 0.2004 0.5000 0.2505
Tl1 0.0000 0.5000 0.0000
Tl2 0.0000 0.5000 0.5000
Hg1 0.0000 0.0000 0.3635
Hg2 0.1478 0.0000 0.0000

Properties
V	1129.7	Å³/cell
final energy	-3.747	eV per atom
excess energy over the best structure of this formula in the dataset	0.0273	eV per atom
energy relative to the elements	-0.250	eV per atom

***

(8)
A relaxed structure of PrSm4S5, computed with PBE.

a b c (Å): 4.0270 5.6946 20.1641
angles (deg): 90.00 90.00 90.00
Space group Immm (No. 71)
Asymmetric unit:
Pr1 0.0000 0.0000 0.0000
Sm1 0.0000 0.0000 0.2011
Sm2 0.0000 0.0000 0.4002
S1 0.0000 0.5000 0.0000
S2 0.0000 0.5000 0.1995
S3 0.0000 0.5000 0.3971

Properties
V	462.4	Å³/cell
final energy	-6.447	eV per atom